Entry from Alexandria: a relaxed structure of HoBi2F8 (PBE-GGA).

DOS at the Fermi energy (states/eV per atom): 0.13
ΔE_f (raw) (eV/atom): -2.845

The structure in CIF format:
```
data_HoBi2F8
_chemical_formula_sum 'Ho2 Bi4 F16'
_cell_length_a 15.912
_cell_length_b 3.875
_cell_length_c 5.342
_cell_angle_alpha 90.00
_cell_angle_beta 105.00
_cell_angle_gamma 90.00
_symmetry_space_group_name_H-M 'C 1 2/m 1'
_symmetry_Int_Tables_number 12
_symmetry_space_group_name_Hall '-C 2y'
loop_
_atom_site_label
_atom_site_fract_x
_atom_site_fract_y
_atom_site_fract_z
Ho1 0.000 0.000 0.000
Bi1 0.166 0.500 0.667
F1 0.025 0.500 0.798
F2 0.096 0.000 0.397
F3 0.133 0.000 0.917
F4 0.234 0.500 0.319
```

Entry from Alexandria: a relaxed structure of HoBiF6 (PBE-GGA).

DOS at the Fermi energy (states/eV per atom): 0.00
ΔE_f (raw) (eV/atom): -3.264

The structure in CIF format:
```
data_HoBiF6
_chemical_formula_sum 'Ho2 Bi2 F12'
_cell_length_a 5.377
_cell_length_b 5.377
_cell_length_c 8.151
_cell_angle_alpha 90.00
_cell_angle_beta 90.00
_cell_angle_gamma 90.00
_symmetry_space_group_name_H-M 'P 42/m'
_symmetry_Int_Tables_number 84
_symmetry_space_group_name_Hall '-P 4c'
loop_
_atom_site_label
_atom_site_fract_x
_atom_site_fract_y
_atom_site_fract_z
Ho1 0.000 0.000 0.250
Bi1 0.500 0.500 0.000
F1 0.167 0.806 0.000
F2 0.251 0.703 0.321
```

Entry from Alexandria: a relaxed structure of HoBi2O4F (PBE-GGA).

ΔE_f (raw) (eV/atom): -2.191

The structure in CIF format:
```
data_HoBi2O4F
_chemical_formula_sum 'Ho1 Bi2 O4 F1'
_cell_length_a 3.836
_cell_length_b 3.836
_cell_length_c 8.599
_cell_angle_alpha 90.00
_cell_angle_beta 90.00
_cell_angle_gamma 90.00
_symmetry_space_group_name_H-M 'P 4/m m m'
_symmetry_Int_Tables_number 123
_symmetry_space_group_name_Hall '-P 4 2'
loop_
_atom_site_label
_atom_site_fract_x
_atom_site_fract_y
_atom_site_fract_z
Ho1 0.000 0.000 0.000
Bi1 0.500 0.500 0.295
O1 0.000 0.500 0.161
F1 0.000 0.000 0.500
```

Entry from Alexandria: a relaxed structure of BiI2F (PBE-GGA).

DOS at the Fermi energy (states/eV per atom): 0.00
ΔE_f (raw) (eV/atom): -0.533

The structure in CIF format:
```
data_BiI2F
_chemical_formula_sum 'Bi4 I8 F4'
_cell_length_a 7.519
_cell_length_b 7.519
_cell_length_c 7.519
_cell_angle_alpha 90.00
_cell_angle_beta 90.00
_cell_angle_gamma 90.00
_symmetry_space_group_name_H-M 'F m -3 m'
_symmetry_Int_Tables_number 225
_symmetry_space_group_name_Hall '-F 4 2 3'
loop_
_atom_site_label
_atom_site_fract_x
_atom_site_fract_y
_atom_site_fract_z
Bi1 0.000 0.000 0.000
I1 0.250 0.250 0.250
F1 0.000 0.000 0.500
```

Entry from Alexandria: a relaxed structure of Bi2IF (PBE-GGA).

DOS at the Fermi energy (states/eV per atom): 1.15
ΔE_f (raw) (eV/atom): -0.169

The structure in CIF format:
```
data_Bi2IF
_chemical_formula_sum 'Bi8 I4 F4'
_cell_length_a 7.543
_cell_length_b 7.543
_cell_length_c 7.543
_cell_angle_alpha 90.00
_cell_angle_beta 90.00
_cell_angle_gamma 90.00
_symmetry_space_group_name_H-M 'F m -3 m'
_symmetry_Int_Tables_number 225
_symmetry_space_group_name_Hall '-F 4 2 3'
loop_
_atom_site_label
_atom_site_fract_x
_atom_site_fract_y
_atom_site_fract_z
Bi1 0.250 0.250 0.250
I1 0.000 0.000 0.000
F1 0.000 0.000 0.500
```

Entry from Alexandria: a relaxed structure of BiI2F (PBE-GGA).

DOS at the Fermi energy (states/eV per atom): 0.00
ΔE_f (raw) (eV/atom): -1.033

The structure in CIF format:
```
data_BiI2F
_chemical_formula_sum 'Bi4 I8 F4'
_cell_length_a 7.763
_cell_length_b 6.776
_cell_length_c 11.622
_cell_angle_alpha 90.00
_cell_angle_beta 90.00
_cell_angle_gamma 90.00
_symmetry_space_group_name_H-M 'P n n a'
_symmetry_Int_Tables_number 52
_symmetry_space_group_name_Hall '-P 2a 2bc'
loop_
_atom_site_label
_atom_site_fract_x
_atom_site_fract_y
_atom_site_fract_z
Bi1 0.250 0.000 0.115
I1 0.089 0.248 0.922
F1 0.194 0.250 0.250
```

Entry from Alexandria: a relaxed structure of BiI2F (PBE-GGA).

DOS at the Fermi energy (states/eV per atom): 0.00
ΔE_f (raw) (eV/atom): -1.091

The structure in CIF format:
```
data_BiI2F
_chemical_formula_sum 'Bi2 I4 F2'
_cell_length_a 4.400
_cell_length_b 4.597
_cell_length_c 15.599
_cell_angle_alpha 90.00
_cell_angle_beta 90.00
_cell_angle_gamma 90.00
_symmetry_space_group_name_H-M 'I m m m'
_symmetry_Int_Tables_number 71
_symmetry_space_group_name_Hall '-I 2 2'
loop_
_atom_site_label
_atom_site_fract_x
_atom_site_fract_y
_atom_site_fract_z
Bi1 0.000 0.000 0.000
I1 0.000 0.500 0.359
F1 0.000 0.500 0.000
```

Entry from Alexandria: a relaxed structure of BiI3F (PBE-GGA).

ΔE_f (raw) (eV/atom): -0.765

The structure in CIF format:
```
data_BiI3F
_chemical_formula_sum 'Bi4 I12 F4'
_cell_length_a 10.171
_cell_length_b 9.772
_cell_length_c 9.293
_cell_angle_alpha 90.00
_cell_angle_beta 120.53
_cell_angle_gamma 90.00
_symmetry_space_group_name_H-M 'C 1 2/m 1'
_symmetry_Int_Tables_number 12
_symmetry_space_group_name_Hall '-C 2y'
loop_
_atom_site_label
_atom_site_fract_x
_atom_site_fract_y
_atom_site_fract_z
Bi1 0.203 0.000 0.022
I1 0.070 0.500 0.406
I2 0.241 0.304 0.198
F1 0.040 0.000 0.158
```

Entry from Alexandria: a relaxed structure of BiI2F (PBE-GGA).

DOS at the Fermi energy (states/eV per atom): 0.00
ΔE_f (raw) (eV/atom): -0.415

The structure in CIF format:
```
data_BiI2F
_chemical_formula_sum 'Bi4 I8 F4'
_cell_length_a 7.930
_cell_length_b 7.930
_cell_length_c 8.166
_cell_angle_alpha 90.00
_cell_angle_beta 90.00
_cell_angle_gamma 90.00
_symmetry_space_group_name_H-M 'I -4 2 d'
_symmetry_Int_Tables_number 122
_symmetry_space_group_name_Hall 'I -4 2bw'
loop_
_atom_site_label
_atom_site_fract_x
_atom_site_fract_y
_atom_site_fract_z
Bi1 0.000 0.000 0.000
I1 0.240 0.750 0.625
F1 0.000 0.000 0.500
```

Entry from Alexandria: a relaxed structure of BiI3F (PBE-GGA).

DOS at the Fermi energy (states/eV per atom): 0.99
ΔE_f (raw) (eV/atom): 0.193

The structure in CIF format:
```
data_BiI3F
_chemical_formula_sum 'Bi1 I3 F1'
_cell_length_a 5.339
_cell_length_b 5.339
_cell_length_c 5.339
_cell_angle_alpha 90.00
_cell_angle_beta 90.00
_cell_angle_gamma 90.00
_symmetry_space_group_name_H-M 'P m -3 m'
_symmetry_Int_Tables_number 221
_symmetry_space_group_name_Hall '-P 4 2 3'
loop_
_atom_site_label
_atom_site_fract_x
_atom_site_fract_y
_atom_site_fract_z
Bi1 0.000 0.000 0.000
I1 0.000 0.500 0.500
F1 0.500 0.500 0.500
```

Entry from Alexandria: a relaxed structure of Bi2IF (PBE-GGA).

DOS at the Fermi energy (states/eV per atom): 0.00
ΔE_f (raw) (eV/atom): -0.554

The structure in CIF format:
```
data_Bi2IF
_chemical_formula_sum 'Bi8 I4 F4'
_cell_length_a 4.963
_cell_length_b 4.963
_cell_length_c 19.763
_cell_angle_alpha 90.00
_cell_angle_beta 90.00
_cell_angle_gamma 90.00
_symmetry_space_group_name_H-M 'I -4 2 d'
_symmetry_Int_Tables_number 122
_symmetry_space_group_name_Hall 'I -4 2bw'
loop_
_atom_site_label
_atom_site_fract_x
_atom_site_fract_y
_atom_site_fract_z
Bi1 0.188 0.250 0.125
I1 0.000 0.000 0.500
F1 0.000 0.000 0.000
```

Entry from Alexandria: a relaxed structure of InBiIF2 (PBE-GGA).

DOS at the Fermi energy (states/eV per atom): 0.35
ΔE_f (raw) (eV/atom): -1.383

The structure in CIF format:
```
data_InBiIF2
_chemical_formula_sum 'In1 Bi1 I1 F2'
_cell_length_a 4.594
_cell_length_b 4.594
_cell_length_c 6.406
_cell_angle_alpha 90.00
_cell_angle_beta 90.00
_cell_angle_gamma 90.00
_symmetry_space_group_name_H-M 'P 4/m m m'
_symmetry_Int_Tables_number 123
_symmetry_space_group_name_Hall '-P 4 2'
loop_
_atom_site_label
_atom_site_fract_x
_atom_site_fract_y
_atom_site_fract_z
In1 0.000 0.000 0.000
Bi1 0.000 0.000 0.500
I1 0.500 0.500 0.000
F1 0.000 0.500 0.500
```

Entry from Alexandria: a relaxed structure of InBiIF2 (PBE-GGA).

DOS at the Fermi energy (states/eV per atom): 0.32
ΔE_f (raw) (eV/atom): -1.253

The structure in CIF format:
```
data_InBiIF2
_chemical_formula_sum 'In1 Bi1 I1 F2'
_cell_length_a 4.480
_cell_length_b 4.480
_cell_length_c 6.211
_cell_angle_alpha 90.00
_cell_angle_beta 90.00
_cell_angle_gamma 90.00
_symmetry_space_group_name_H-M 'P 4/m m m'
_symmetry_Int_Tables_number 123
_symmetry_space_group_name_Hall '-P 4 2'
loop_
_atom_site_label
_atom_site_fract_x
_atom_site_fract_y
_atom_site_fract_z
In1 0.000 0.000 0.000
Bi1 0.000 0.000 0.500
I1 0.500 0.500 0.500
F1 0.000 0.500 0.000
```